Material: NaCr3F
Method: DFT, GGA+U
State: optimized geometry

Lattice parameters (Å, degrees): 4.7451 4.7451 4.7451 90.00 90.00 90.00
Atoms (fractional coordinates):
Na: 0.5000 0.5000 0.5000
F: 0.0000 0.0000 0.0000
Cr: 0.5000 0.0000 0.0000
Cr: 0.0000 0.0000 0.5000
Cr: 0.0000 0.5000 0.0000

Results
volume: 21.37 Å³/atom
mass density: 3.077 Mg/m³
Fermi-level density of states: 3.8 states/eV/f.u.
VASP energy: -25.18 eV/cell